No. 1
Here is crystalline LaRu2Au at its relaxed geometry from Alexandria via LeMat-Bulk. Energies are from PBE.

Cell: 4.3307 4.3307 19.2493 Å, 90.00 90.00 90.00°
With the nearest neighbours (Å) after each atom.
Space group I-42d (No. 122)
Inequivalent atoms, fractional coordinates:
La  0.0000  0.0000  0.0000 x4  4 Au 3.06, 4 Ru 3.09
Ru  0.1270  0.2500  0.6250 x8  2 Ru 2.43, 2 Au 2.70
Au  0.0000  0.0000  0.5000 x4  4 Ru 2.70

Values from the calculation:
Energy relative to the elements, eV per atom: 0.2126
Energy above the lowest structure with this stoichiometry, meV/atom: 128
Final energy, eV/atom: -6.476
N(E_F), states/eV/cell: 14.92
V, Å³ per cell: 361.0

***

No. 2
Here is crystalline NaLi3Tl at its relaxed geometry from Alexandria via LeMat-Bulk. Energies are from PBE.

Cell: 5.7318 5.7318 16.2523 Å, 90.00 90.00 120.00°
With the nearest neighbours (Å) after each atom.
Space group R-3m (No. 166, hexagonal axes)
Inequivalent atoms, fractional coordinates:
Na  0.0000  0.0000  0.0000 x3  6 Li 3.17
Li  0.0000  0.5000  0.5000 x9  4 Li 2.87, 2 Tl 2.87, 2 Na 3.17
Tl  0.0000  0.0000  0.5000 x3  6 Li 2.87

Values from the calculation:
Energy relative to the elements, eV per atom: 0.1271
Energy above the lowest structure with this stoichiometry, meV/atom: 254
Final energy, eV/atom: -1.758
N(E_F), states/eV/cell: 11.13
V, Å³ per cell: 462.4

***

No. 3
Here is crystalline CaYHg2 at its relaxed geometry from Alexandria via LeMat-Bulk. Energies are from PBE.

Cell: 4.9344 3.8297 11.5814 Å, 90.00 90.00 90.00°
With the nearest neighbours (Å) after each atom.
Space group Amm2 (No. 38)
Inequivalent atoms, fractional coordinates:
Ca  0.0000  0.0000  0.0000 x2  7 Hg 3.12-3.29
Y  0.5000  0.0000  0.2867 x2  7 Hg 3.15-3.26
Hg  0.0000  0.0000  0.7310 x2  3 Ca 3.12-3.29, 2 Hg 3.17, 4 Y 3.19
Hg  0.5000  0.0000  0.5585 x2  3 Y 3.15-3.26, 2 Hg 3.17, 4 Ca 3.20

Values from the calculation:
Energy relative to the elements, eV per atom: -0.4849
Energy above the lowest structure with this stoichiometry, meV/atom: 65
Final energy, eV/atom: -2.752
N(E_F), states/eV/cell: 6.53
V, Å³ per cell: 218.9

***

No. 4
Here is crystalline DyH3Rh at its relaxed geometry from Alexandria via LeMat-Bulk. Energies are from PBE.

Cell: 3.6509 3.6509 3.6509 Å, 90.00 90.00 90.00°
With the nearest neighbours (Å) after each atom.
Space group Pm-3m (No. 221)
Inequivalent atoms, fractional coordinates:
Dy  0.0000  0.0000  0.0000 x1  12 H 2.58
H  0.0000  0.5000  0.5000 x3  2 Rh 1.83
Rh  0.5000  0.5000  0.5000 x1  6 H 1.83

Values from the calculation:
Final energy, eV/atom: -4.993
N(E_F), states/eV/cell: 0.94
V, Å³ per cell: 48.7

***

No. 5
Here is crystalline CeGd2Zr at its relaxed geometry from Alexandria via LeMat-Bulk. Energies are from PBE.

Cell: 3.3903 3.3903 10.0067 Å, 90.00 90.00 90.00°
With the nearest neighbours (Å) after each atom.
Space group P4/mmm (No. 123)
Inequivalent atoms, fractional coordinates:
Ce  0.0000  0.0000  0.0000 x1  4 Ce 3.39, 8 Gd 3.58
Gd  0.5000  0.5000  0.2657 x2  4 Zr 3.35, 4 Gd 3.39, 4 Ce 3.58
Zr  0.0000  0.0000  0.5000 x1  8 Gd 3.35, 4 Zr 3.39

Values from the calculation:
Energy relative to the elements, eV per atom: 0.1202
Energy above the lowest structure with this stoichiometry, meV/atom: 0
Final energy, eV/atom: -10.541
N(E_F), states/eV/cell: 8.62
V, Å³ per cell: 115.0

***

No. 6
Here is crystalline Nd3GaIr3 at its relaxed geometry from Alexandria via LeMat-Bulk. Energies are from PBE.

Cell: 4.2189 10.5925 14.0421 Å, 90.00 90.00 90.00°
With the nearest neighbours (Å) after each atom.
Space group Cmcm (No. 63)
Inequivalent atoms, fractional coordinates:
Nd  0.0000  0.0096  0.2500 x4  7 Ir 3.02-3.19
Nd  0.0000  0.2906  0.1062 x8  6 Ir 3.00-3.08
Ga  0.0000  0.0000  0.0000 x4  4 Ir 2.59
Ir  0.0000  0.2752  0.7500 x4  2 Ir 2.75, 5 Nd 3.00-3.02
Ir  0.0000  0.4205  0.5880 x8  2 Ga 2.59, 1 Ir 2.75

Values from the calculation:
Energy relative to the elements, eV per atom: -0.7154
Energy above the lowest structure with this stoichiometry, meV/atom: 0
Final energy, eV/atom: -6.989
N(E_F), states/eV/cell: 15.26
V, Å³ per cell: 627.5

***

No. 7
Here is crystalline Ca3Pm3NdTe8 at its relaxed geometry from Alexandria via LeMat-Bulk. Energies are from PBE.

Cell: 8.9075 8.9075 22.1844 Å, 90.00 90.00 120.00°
With the nearest neighbours (Å) after each atom.
Space group R-3m (No. 166, hexagonal axes)
Inequivalent atoms, fractional coordinates:
Ca  0.0000  0.5000  0.0000 x9  6 Te 3.16-3.17
Pm  0.0000  0.5000  0.5000 x9  6 Te 3.17-3.18
Nd  0.0000  0.0000  0.5000 x3  6 Te 3.21
Te  0.0000  0.0000  0.2507 x6  3 Ca 3.16, 3 Pm 3.18
Te  0.0052  0.5026  0.7489 x18  2 Pm 3.17, 2 Ca 3.17, 1 Nd 3.21

Values from the calculation:
Raw formation energy, meV/atom: -1518.4
Final energy, eV/atom: -4.862
N(E_F), states/eV/cell: 14.94
V, Å³ per cell: 1524.4

***

No. 8
Here is crystalline Tl2BrF at its relaxed geometry from Alexandria via LeMat-Bulk. Energies are from PBE.

Cell: 6.9696 6.9696 12.6323 Å, 90.00 90.00 90.00°
With the nearest neighbours (Å) after each atom.
Space group I-42d (No. 122)
Inequivalent atoms, fractional coordinates:
Tl  0.1806  0.2500  0.1250 x8  2 F 2.67
Br  0.0000  0.0000  0.5000 x4  4 Tl 3.24
F  0.0000  0.0000  0.0000 x4  4 Tl 2.67

Values from the calculation:
Raw formation energy, meV/atom: -1244.1
Energy above the lowest structure with this stoichiometry, meV/atom: 40
Final energy, eV/atom: -3.313
N(E_F), states/eV/cell: 0.00
V, Å³ per cell: 613.6

***

No. 9
Here is crystalline Nd4CN2 at its relaxed geometry from Alexandria via LeMat-Bulk. Energies are from PBE.

Cell: 7.4752 7.4752 10.6080 Å, 90.00 90.00 90.00°
With the nearest neighbours (Å) after each atom.
Space group P4_122 (No. 91)
Inequivalent atoms, fractional coordinates:
Nd  0.0082  0.2456  0.2593 x8  3 N 2.41-2.55, 1 C 2.58
Nd  0.2459  0.4817  0.4951 x8  2 N 2.42-2.56, 2 C 2.60-2.61
C  0.2415  0.5000  0.2500 x4  6 Nd 2.58-2.61
N  0.0000  0.2429  0.5000 x4  6 Nd 2.54-2.56
N  0.2519  0.2519  0.8750 x4  4 Nd 2.41-2.42

Values from the calculation:
Raw formation energy, meV/atom: -719.9
Final energy, eV/atom: -7.141
N(E_F), states/eV/cell: 12.13
V, Å³ per cell: 592.8

***

No. 10
Here is crystalline KRbGa2I8 at its relaxed geometry from Alexandria via LeMat-Bulk. Energies are from PBE.

Cell: 7.7687 7.7687 33.2254 Å, 90.00 90.00 120.00°
With the nearest neighbours (Å) after each atom.
Space group R-3 (No. 148, hexagonal axes)
Inequivalent atoms, fractional coordinates:
K  0.0000  0.0000  0.0000 x3  6 I 3.68
Rb  0.0000  0.0000  0.5000 x3  12 I 4.13-4.49
Ga  0.0000  0.0000  0.2431 x6  4 I 2.58-2.60
I  0.0000  0.0000  0.1655 x6  1 Ga 2.58
I  0.0066  0.3865  0.0652 x18  1 Ga 2.60

Values from the calculation:
Raw formation energy, meV/atom: -856.8
Final energy, eV/atom: -2.567
N(E_F), states/eV/cell: 0.00
V, Å³ per cell: 1736.6

***

No. 11
Here is crystalline VFe2HPt at its relaxed geometry from Alexandria via LeMat-Bulk. Energies are from PBE.

Cell: 3.6887 3.6887 3.7302 Å, 90.00 90.00 90.00°
With the nearest neighbours (Å) after each atom.
Space group P4/mmm (No. 123)
Inequivalent atoms, fractional coordinates:
V  0.0000  0.0000  0.0000 x1  2 H 1.87
Fe  0.0000  0.5000  0.5000 x2  2 H 1.84
H  0.0000  0.0000  0.5000 x1  4 Fe 1.84, 2 V 1.87
Pt  0.5000  0.5000  0.0000 x1  4 V 2.61, 8 Fe 2.62

Values from the calculation:
Energy above the lowest structure with this stoichiometry, meV/atom: 0
Final energy, eV/atom: -7.276
N(E_F), states/eV/cell: 4.06
V, Å³ per cell: 50.8

***

- What is the formula in the tenth record?
  KRbGa2I8

***

- Which of these has the lowest V?
  DyH3Rh